VASP calculation (PBE-GGA) on an optimized crystal structure of Rb2CuAgBr5.

The spin magnetization comes out at 0.9 μB/f.u. The formation energy (no corrections) is -0.927 eV per atom. Its total energy is -2.8437 eV/atom.

It has space group Cmc2_1 (No. 36), with a = 4.2006 Å, b = 21.6554 Å, c = 13.4965 Å, α = 90.00°, β = 90.00° and γ = 90.00°. Symmetry generates all atoms from Rb at (0.0000, 0.1142, 0.0000), Rb at (0.0000, 0.1257, 0.3763), Cu at (0.0000, 0.4381, 0.1366), Ag at (0.0000, 0.2188, 0.7261), Br at (0.0000, 0.0334, 0.7204), Br at (0.0000, 0.2874, 0.3629), Br at (0.0000, 0.3275, 0.1013), Br at (0.0000, 0.3431, 0.6857) and Br at (0.0000, 0.4870, 0.9747).